Here is an optimized crystal structure of PrEuAl4 from the Alexandria database. Energies are from GGA-PBE.

space-group type	F-43m, No. 216
energy of formation from the pure elements	-0.44	eV/atom

Lattice parameters (Å, degrees): 5.7045 5.7045 5.7045 60.00 60.00 60.00
Last column: nearest neighbours and their distance in Å.
Element x y z (fractional)
Pr  0.0000  0.0000  0.0000  12 Al 3.34, 4 Eu 3.49
Eu  0.2500  0.2500  0.2500  12 Al 3.34, 4 Pr 3.49
Al  0.1250  0.6250  0.6250  6 Al 2.85
Al  0.6250  0.1250  0.6250  6 Al 2.85
Al  0.6250  0.6250  0.1250  6 Al 2.85
Al  0.6250  0.6250  0.6250  6 Al 2.85